[1]
This record from Alexandria via LeMat-Bulk describes a relaxed RbSmPuO6 crystal. The functional is PBE.

The structure in POSCAR format:
```
RbSmPuO6
1.0
5.9737 0.0000 0.0000
2.9869 5.1732 0.0001
0.0001 -0.0001 5.9534
Rb Sm Pu O
1 1 1 6
Direct
0.0000 0.0000 0.0000 Rb
0.6666 0.6667 0.5000 Sm
0.3333 0.3333 0.5000 Pu
0.0426 0.3661 0.3151 O
0.3661 0.0427 0.6848 O
0.5912 0.3661 0.6849 O
0.0426 0.5912 0.6848 O
0.3661 0.5912 0.3151 O
0.5912 0.0427 0.3151 O
```

Values from the calculation:
SG   P312 (149)
M_tot   0.0 μB per formula unit
Raw total energy   -71.39 eV per cell
Formation energy without anion corrections   -2.40 eV/atom

[2]
This record from Alexandria via LeMat-Bulk describes a relaxed RbSm2PuO6 crystal. The functional is PBE.

The structure in POSCAR format:
```
RbSm2PuO6
1.0
6.0825 0.0000 0.0001
3.0412 5.2676 -0.0001
3.0410 1.7560 5.3829
Rb Sm Pu O
1 2 1 6
Direct
0.7818 0.7818 0.6545 Rb
0.5285 0.5284 0.4147 Sm
0.0097 0.0097 0.9709 Sm
0.3231 0.3231 0.0308 Pu
0.5851 0.2639 0.2143 O
0.2640 0.9366 0.2143 O
0.9366 0.5851 0.2143 O
0.3308 0.7024 0.7671 O
0.7024 0.1997 0.7671 O
0.1997 0.3308 0.7671 O
```

Values from the calculation:
SG   R3 (146)
M_tot   3.0 μB per formula unit
Raw total energy   -83.40 eV per cell
Formation energy without anion corrections   -2.89 eV/atom

[3]
This record from Alexandria via LeMat-Bulk describes a relaxed Rb3SmPu2O9 crystal. The functional is PBE.

The structure in POSCAR format:
```
Rb3SmPu2O9
1.0
-1.7726 -4.2224 -4.1180
-2.6752 0.2081 5.5433
-5.1860 4.7936 -2.6828
Rb Sm Pu O
3 1 2 9
Direct
0.3333 0.6667 0.6630 Rb
0.0000 0.0000 0.0000 Rb
0.6667 0.3333 0.3370 Rb
0.0000 0.0000 0.5000 Sm
0.3333 0.6667 0.1615 Pu
0.6667 0.3333 0.8385 Pu
0.8222 0.1778 0.6827 O
0.8222 0.6444 0.6827 O
0.3556 0.1778 0.6827 O
0.6444 0.8222 0.3173 O
0.1778 0.3556 0.3173 O
0.1778 0.8222 0.3173 O
0.5000 0.0000 0.0000 O
0.0000 0.5000 0.0000 O
0.5000 0.5000 0.0000 O
```

Values from the calculation:
SG   P-3m1 (164)
M_tot   4.0 μB per formula unit
Raw total energy   -118.54 eV per cell
Formation energy without anion corrections   -2.51 eV/atom

[4]
This record from Alexandria via LeMat-Bulk describes a relaxed RbSm2PuO8 crystal. The functional is PBE.

The structure in POSCAR format:
```
RbSm2PuO8
1.0
4.5424 -0.1544 0.1906
-0.1118 5.2776 0.1085
0.3283 0.1911 8.0944
Rb Sm Pu O
1 2 1 8
Direct
0.0000 0.0000 0.5000 Rb
0.4371 0.4731 0.7805 Sm
0.5629 0.5269 0.2195 Sm
0.0000 0.0000 0.0000 Pu
0.0816 0.7096 0.1793 O
0.6582 0.7536 0.9666 O
0.7939 0.1411 0.1919 O
0.9184 0.2904 0.8207 O
0.3418 0.2464 0.0334 O
0.2061 0.8589 0.8081 O
0.5047 0.6436 0.4986 O
0.4953 0.3564 0.5014 O
```

Values from the calculation:
SG   P-1 (2)
M_tot   1.0 μB per formula unit
Raw total energy   -94.09 eV per cell
Formation energy without anion corrections   -2.47 eV/atom

[5]
This record from Alexandria via LeMat-Bulk describes a relaxed Rb4SmPu3O12 crystal. The functional is PBE.

The structure in POSCAR format:
```
Rb4SmPu3O12
1.0
-7.0035 -1.1493 2.5077
-0.0279 0.1839 -7.5249
4.4576 -5.5887 2.3567
Rb Sm Pu O
4 1 3 12
Direct
0.5000 0.5000 0.5000 Rb
0.0000 0.0000 0.5000 Rb
0.5000 0.0000 0.0000 Rb
0.0000 0.5000 0.0000 Rb
0.0000 0.0000 0.0000 Sm
0.5000 0.0000 0.5000 Pu
0.5000 0.5000 0.0000 Pu
0.0000 0.5000 0.5000 Pu
0.2500 0.5000 0.7500 O
0.7306 0.0000 0.7306 O
0.2694 0.0000 0.2694 O
0.7500 0.5000 0.2500 O
0.7306 0.7306 0.0000 O
0.2694 0.2694 0.0000 O
0.7500 0.2500 0.5000 O
0.2500 0.7500 0.5000 O
0.5000 0.2500 0.7500 O
0.0000 0.7306 0.7306 O
0.5000 0.7500 0.2500 O
0.0000 0.2694 0.2694 O
```

Values from the calculation:
SG   Im-3m (229)
M_tot   7.0 μB per formula unit
Raw total energy   -161.83 eV per cell
Formation energy without anion corrections   -2.54 eV/atom

[6]
This record from Alexandria via LeMat-Bulk describes a relaxed Rb2SmPu3O12 crystal. The functional is PBE.

The structure in POSCAR format:
```
Rb2SmPu3O12
1.0
7.7496 -0.1246 -0.0884
3.7188 6.8001 -0.0884
3.7188 2.1647 6.4470
Rb Sm Pu O
2 1 3 12
Direct
0.6298 0.6298 0.6298 Rb
0.3702 0.3702 0.3702 Rb
0.0000 0.0000 0.0000 Sm
0.5000 0.0000 0.0000 Pu
0.0000 0.5000 0.0000 Pu
0.0000 0.0000 0.5000 Pu
0.3052 0.3052 0.9297 O
0.9195 0.9195 0.3530 O
0.3530 0.9195 0.9195 O
0.9297 0.3052 0.3052 O
0.9195 0.3530 0.9195 O
0.3052 0.9297 0.3052 O
0.6948 0.6948 0.0703 O
0.0805 0.0805 0.6470 O
0.6470 0.0805 0.0805 O
0.0703 0.6948 0.6948 O
0.0805 0.6470 0.0805 O
0.6948 0.0703 0.6948 O
```

Values from the calculation:
SG   R-3m (166)
M_tot   5.0 μB per formula unit
Raw total energy   -154.74 eV per cell
Formation energy without anion corrections   -2.53 eV/atom

[7]
This record from Alexandria via LeMat-Bulk describes a relaxed Rb2PuSnO6 crystal. The functional is PBE.

The structure in POSCAR format:
```
Rb2PuSnO6
1.0
-1.9779 4.5411 3.3445
-0.2814 -3.6193 4.7477
2.8531 1.4606 5.0448
Rb Pu Sn O
2 1 1 6
Direct
0.7500 0.2500 0.5000 Rb
0.2500 0.7500 0.5000 Rb
0.5000 0.5000 0.0000 Pu
0.0000 0.0000 0.0000 Sn
0.2520 0.2520 0.4959 O
0.7480 0.7480 0.9998 O
0.2521 0.7479 0.0000 O
0.7479 0.2520 0.0000 O
0.2520 0.2520 0.0002 O
0.7480 0.7480 0.5041 O
```

Values from the calculation:
SG   Fm-3m (225)
M_tot   2.0 μB per formula unit
Raw total energy   -70.08 eV per cell
Formation energy without anion corrections   -2.01 eV/atom

[8]
This record from Alexandria via LeMat-Bulk describes a relaxed RbPuSnO6 crystal. The functional is PBE.

The structure in POSCAR format:
```
RbPuSnO6
1.0
5.5055 0.0000 0.0000
-2.7528 4.7679 0.0000
0.0000 0.0000 12.8576
Rb Pu Sn O
2 2 2 12
Direct
0.0000 0.0000 0.0000 Rb
0.0000 0.0000 0.5000 Rb
0.6667 0.3333 0.2500 Pu
0.3333 0.6667 0.7500 Pu
0.3333 0.6667 0.2500 Sn
0.6667 0.3333 0.7500 Sn
0.6323 0.6216 0.1620 O
0.9893 0.3677 0.1620 O
0.3677 0.9893 0.6620 O
0.0107 0.6323 0.8380 O
0.3784 0.3677 0.3380 O
0.9893 0.6216 0.3380 O
0.6216 0.9893 0.8380 O
0.6323 0.0107 0.3380 O
0.0107 0.3784 0.6620 O
0.3784 0.0107 0.1620 O
0.6216 0.6323 0.6620 O
0.3677 0.3784 0.8380 O
```

Values from the calculation:
SG   P-31c (163)
M_tot   1.0 μB per formula unit
Raw total energy   -132.39 eV per cell
Formation energy without anion corrections   -1.90 eV/atom

[9]
This record from Alexandria via LeMat-Bulk describes a relaxed Rb4SrPu3O12 crystal. The functional is PBE.

The structure in POSCAR format:
```
Rb4SrPu3O12
1.0
7.5980 0.0000 0.0000
-2.5327 7.1635 0.0000
-2.5327 -3.5817 6.2037
Rb Sr Pu O
4 1 3 12
Direct
0.5000 0.5000 0.5000 Rb
0.0000 0.0000 0.5000 Rb
0.5000 0.0000 0.0000 Rb
0.0000 0.5000 0.0000 Rb
0.0000 0.0000 0.0000 Sr
0.5000 0.0000 0.5000 Pu
0.5000 0.5000 0.0000 Pu
0.0000 0.5000 0.5000 Pu
0.2500 0.5000 0.7500 O
0.7189 0.0000 0.7189 O
0.2811 0.0000 0.2811 O
0.7500 0.5000 0.2500 O
0.7189 0.7189 0.0000 O
0.2811 0.2811 0.0000 O
0.7500 0.2500 0.5000 O
0.2500 0.7500 0.5000 O
0.5000 0.2500 0.7500 O
0.0000 0.7189 0.7189 O
0.5000 0.7500 0.2500 O
0.0000 0.2811 0.2811 O
```

Values from the calculation:
SG   Im-3m (229)
M_tot   6.0 μB per formula unit
Raw total energy   -157.38 eV per cell
Formation energy without anion corrections   -2.47 eV/atom

[10]
This record from Alexandria via LeMat-Bulk describes a relaxed Rb3Sr2PuO6 crystal. The functional is PBE.

The structure in POSCAR format:
```
Rb3Sr2PuO6
1.0
6.3578 0.0023 0.0001
-3.1753 5.5081 0.0001
-1.0615 -1.8379 6.5436
Rb Sr Pu O
3 2 1 6
Direct
0.1677 0.8323 0.5000 Rb
0.8323 0.1677 0.5000 Rb
0.5000 0.5000 0.5000 Rb
0.3334 0.6666 0.0000 Sr
0.6666 0.3334 0.0000 Sr
0.0000 0.0000 0.0000 Pu
0.9392 0.6507 0.8181 O
0.7726 0.7726 0.1831 O
0.0608 0.3493 0.1819 O
0.6507 0.9392 0.8181 O
0.2274 0.2274 0.8169 O
0.3493 0.0608 0.1819 O
```

Values from the calculation:
SG   C2/m (12)
M_tot   3.0 μB per formula unit
Raw total energy   -78.10 eV per cell
Formation energy without anion corrections   -2.31 eV/atom

[11]
This record from Alexandria via LeMat-Bulk describes a relaxed Rb3SrPu2O9 crystal. The functional is PBE.

The structure in POSCAR format:
```
Rb3SrPu2O9
1.0
-4.8097 -3.5838 1.6973
4.8506 -2.5112 -3.0038
3.4326 -1.4196 6.7298
Rb Sr Pu O
3 1 2 9
Direct
0.3333 0.6667 0.6603 Rb
0.0000 0.0000 0.0000 Rb
0.6667 0.3333 0.3397 Rb
0.0000 0.0000 0.5000 Sr
0.3333 0.6667 0.1552 Pu
0.6667 0.3333 0.8448 Pu
0.8157 0.1843 0.6953 O
0.8157 0.6314 0.6953 O
0.3686 0.1843 0.6953 O
0.6314 0.8157 0.3047 O
0.1843 0.3686 0.3047 O
0.1843 0.8157 0.3047 O
0.5000 0.0000 0.0000 O
0.0000 0.5000 0.0000 O
0.5000 0.5000 0.0000 O
```

Values from the calculation:
SG   P-3m1 (164)
M_tot   3.0 μB per formula unit
Raw total energy   -113.46 eV per cell
Formation energy without anion corrections   -2.37 eV/atom

[12]
This record from Alexandria via LeMat-Bulk describes a relaxed RbSrPu2O8 crystal. The functional is PBE.

The structure in POSCAR format:
```
RbSrPu2O8
1.0
-4.4804 1.7477 -3.8803
-1.4427 -2.6511 5.3921
-0.1928 6.6456 3.2159
Rb Sr Pu O
1 1 2 8
Direct
0.0000 0.0000 0.5000 Rb
0.0000 0.0000 0.0000 Sr
0.6667 0.3333 0.0501 Pu
0.3333 0.6667 0.9499 Pu
0.9429 0.6113 0.8820 O
0.3887 0.3316 0.8820 O
0.6684 0.0571 0.8820 O
0.0571 0.3887 0.1180 O
0.6113 0.6684 0.1180 O
0.3316 0.9429 0.1180 O
0.6667 0.3333 0.3035 O
0.3333 0.6667 0.6965 O
```

Values from the calculation:
SG   P-3 (147)
M_tot   3.0 μB per formula unit
Raw total energy   -97.14 eV per cell
Formation energy without anion corrections   -2.18 eV/atom

[13]
This record from Alexandria via LeMat-Bulk describes a relaxed Rb2SrPu3O12 crystal. The functional is PBE.

The structure in POSCAR format:
```
Rb2SrPu3O12
1.0
-3.5136 3.1213 5.7306
-2.9377 -4.8931 4.7281
3.6776 -0.5378 6.4119
Rb Sr Pu O
2 1 3 12
Direct
0.6133 0.6133 0.6133 Rb
0.3867 0.3867 0.3867 Rb
0.0000 0.0000 0.0000 Sr
0.5000 0.0000 0.0000 Pu
0.0000 0.5000 0.0000 Pu
0.0000 0.0000 0.5000 Pu
0.2788 0.2788 0.9055 O
0.8825 0.8825 0.4113 O
0.4113 0.8825 0.8825 O
0.9055 0.2788 0.2788 O
0.8825 0.4113 0.8825 O
0.2788 0.9055 0.2788 O
0.7212 0.7212 0.0945 O
0.1175 0.1175 0.5887 O
0.5887 0.1175 0.1175 O
0.0945 0.7212 0.7212 O
0.1175 0.5887 0.1175 O
0.7212 0.0945 0.7212 O
```

Values from the calculation:
SG   R-3m (166)
M_tot   4.0 μB per formula unit
Raw total energy   -150.14 eV per cell
Formation energy without anion corrections   -2.45 eV/atom

[14]
This record from Alexandria via LeMat-Bulk describes a relaxed Rb2PuTa3O12 crystal. The functional is PBE.

The structure in POSCAR format:
```
Rb2PuTa3O12
1.0
-5.3549 -4.2091 -3.4035
-5.6581 -3.1847 3.9773
-7.1726 2.4741 -0.6381
Rb Pu Ta O
2 1 3 12
Direct
0.6097 0.6097 0.6097 Rb
0.3903 0.3903 0.3903 Rb
0.0000 0.0000 0.0000 Pu
0.5000 0.0000 0.0000 Ta
0.0000 0.5000 0.0000 Ta
0.0000 0.0000 0.5000 Ta
0.3106 0.3106 0.9351 O
0.9344 0.9344 0.3163 O
0.3163 0.9344 0.9344 O
0.9351 0.3106 0.3106 O
0.9344 0.3163 0.9344 O
0.3106 0.9351 0.3106 O
0.6894 0.6894 0.0649 O
0.0656 0.0656 0.6837 O
0.6837 0.0656 0.0656 O
0.0649 0.6894 0.6894 O
0.0656 0.6837 0.0656 O
0.6894 0.0649 0.6894 O
```

Values from the calculation:
SG   R-3m (166)
M_tot   1.0 μB per formula unit
Raw total energy   -158.22 eV per cell
Formation energy without anion corrections   -2.61 eV/atom

[15]
This record from Alexandria via LeMat-Bulk describes a relaxed Rb2PuTaO6 crystal. The functional is PBE.

The structure in POSCAR format:
```
Rb2PuTaO6
1.0
5.9399 0.0002 0.0002
0.0002 5.9399 0.0001
2.9701 2.9702 4.2003
Rb Pu Ta O
2 1 1 6
Direct
0.7500 0.2500 0.5000 Rb
0.2500 0.7500 0.5000 Rb
0.5000 0.5000 0.0000 Pu
0.0000 0.0000 0.0000 Ta
0.2412 0.2412 0.5176 O
0.7588 0.7588 0.0000 O
0.2412 0.7588 0.0000 O
0.7588 0.2412 0.0000 O
0.2411 0.2412 0.0000 O
0.7588 0.7588 0.4824 O
```

Values from the calculation:
SG   Fm-3m (225)
M_tot   3.0 μB per formula unit
Raw total energy   -83.11 eV per cell
Formation energy without anion corrections   -2.52 eV/atom

[16]
This record from Alexandria via LeMat-Bulk describes a relaxed Rb4PuTa3O12 crystal. The functional is PBE.

The structure in POSCAR format:
```
Rb4PuTa3O12
1.0
7.1626 0.0000 0.0000
-2.3875 6.7530 0.0000
-2.3875 -3.3765 5.8482
Rb Pu Ta O
4 1 3 12
Direct
0.5000 0.5000 0.5000 Rb
0.0000 0.0000 0.5000 Rb
0.5000 0.0000 0.0000 Rb
0.0000 0.5000 0.0000 Rb
0.0000 0.0000 0.0000 Pu
0.5000 0.0000 0.5000 Ta
0.5000 0.5000 0.0000 Ta
0.0000 0.5000 0.5000 Ta
0.2500 0.5000 0.7500 O
0.7408 0.0000 0.7408 O
0.2592 0.0000 0.2592 O
0.7500 0.5000 0.2500 O
0.7408 0.7408 0.0000 O
0.2592 0.2592 0.0000 O
0.7500 0.2500 0.5000 O
0.2500 0.7500 0.5000 O
0.5000 0.2500 0.7500 O
0.0000 0.7408 0.7408 O
0.5000 0.7500 0.2500 O
0.0000 0.2592 0.2592 O
```

Values from the calculation:
SG   Im-3m (229)
M_tot   3.0 μB per formula unit
Raw total energy   -163.77 eV per cell
Formation energy without anion corrections   -2.53 eV/atom

[17]
This record from Alexandria via LeMat-Bulk describes a relaxed Rb3TbPu2O9 crystal. The functional is PBE.

The structure in POSCAR format:
```
Rb3TbPu2O9
1.0
-1.4824 -3.6084 -4.7163
3.0944 -2.2959 4.7555
-6.4749 -1.7455 3.3706
Rb Tb Pu O
3 1 2 9
Direct
0.3333 0.6667 0.6625 Rb
0.0000 0.0000 0.0000 Rb
0.6667 0.3333 0.3375 Rb
0.0000 0.0000 0.5000 Tb
0.3333 0.6667 0.1641 Pu
0.6667 0.3333 0.8359 Pu
0.8238 0.1762 0.6798 O
0.8238 0.6477 0.6798 O
0.3523 0.1762 0.6798 O
0.6477 0.8238 0.3202 O
0.1762 0.3523 0.3202 O
0.1762 0.8238 0.3202 O
0.5000 0.0000 0.0000 O
0.0000 0.5000 0.0000 O
0.5000 0.5000 0.0000 O
```

Values from the calculation:
SG   P-3m1 (164)
M_tot   4.0 μB per formula unit
Raw total energy   -118.69 eV per cell
Formation energy without anion corrections   -2.52 eV/atom

[18]
This record from Alexandria via LeMat-Bulk describes a relaxed RbTb2PuO8 crystal. The functional is PBE.

The structure in POSCAR format:
```
RbTb2PuO8
1.0
5.1093 -0.0389 0.0001
0.0050 5.1123 -0.0024
0.0175 0.0217 7.8112
Rb Tb Pu O
1 2 1 8
Direct
0.0000 0.0000 0.5000 Rb
0.4989 0.4990 0.7842 Tb
0.5011 0.5010 0.2158 Tb
0.0000 0.0000 0.0000 Pu
0.1857 0.8124 0.1836 O
0.7051 0.7033 0.9987 O
0.8106 0.1839 0.1836 O
0.8143 0.1876 0.8164 O
0.2949 0.2967 0.0013 O
0.1894 0.8161 0.8164 O
0.6068 0.6039 0.4998 O
0.3932 0.3961 0.5002 O
```

Values from the calculation:
SG   P-1 (2)
M_tot   1.0 μB per formula unit
Raw total energy   -94.38 eV per cell
Formation energy without anion corrections   -2.51 eV/atom